w:
VASP calculation (PBE-GGA) on crystalline SnHgSO at its relaxed geometry.

abc: 4.3702 4.3702 8.6215
angles: 90.00 90.00 90.00
With the nearest neighbours (Å) after each atom.
Fractional positions:
Sn  0.2500  0.2500  0.0692  4 O 2.27, 1 S 2.42
Sn  0.7500  0.7500  0.9308  4 O 2.27, 1 S 2.42
Hg  0.2500  0.2500  0.6820  5 S 2.87-3.10
Hg  0.7500  0.7500  0.3180  5 S 2.87-3.10
S  0.2500  0.2500  0.3495  1 Sn 2.42
S  0.7500  0.7500  0.6505  1 Sn 2.42
O  0.2500  0.7500  0.0000  4 Sn 2.27
O  0.7500  0.2500  0.0000  4 Sn 2.27

=====

x:
VASP calculation (PBE-GGA) on crystalline SnHgSO at its relaxed geometry.

abc: 5.7119 7.4035 9.1335
angles: 90.00 90.00 90.00
With the nearest neighbours (Å) after each atom.
Fractional positions:
Sn  0.0714  0.1343  0.4186  2 O 2.04-2.05
Sn  0.4286  0.8657  0.9186  2 O 2.04-2.05
Sn  0.5714  0.3657  0.5814  2 O 2.04-2.05
Sn  0.9286  0.6343  0.0814  2 O 2.04-2.05
Hg  0.0072  0.1427  0.1249  1 O 2.54, 2 S 2.57-2.73, 1 Sn 2.71
Hg  0.4928  0.8573  0.6249  1 O 2.54, 2 S 2.57-2.73, 1 Sn 2.71
Hg  0.5072  0.3573  0.8751  1 O 2.54, 2 S 2.57-2.73, 1 Sn 2.71
Hg  0.9928  0.6427  0.3751  1 O 2.54, 2 S 2.57-2.73, 1 Sn 2.71
S  0.0360  0.3819  0.9212  1 Sn 2.45, 2 Hg 2.57-2.73
S  0.4640  0.6181  0.4212  1 Sn 2.45, 2 Hg 2.57-2.73
S  0.5360  0.1181  0.0788  1 Sn 2.45, 2 Hg 2.57-2.73
S  0.9640  0.8819  0.5788  1 Sn 2.45, 2 Hg 2.57-2.73
O  0.0883  0.8515  0.9878  2 Sn 2.04-2.05
O  0.4117  0.1485  0.4878  2 Sn 2.04-2.05
O  0.5883  0.6485  0.0122  2 Sn 2.04-2.05
O  0.9117  0.3515  0.5122  2 Sn 2.04-2.05

=====

y:
VASP calculation (PBE-GGA) on crystalline SnHgSO at its relaxed geometry.

abc: 4.2893 4.2893 9.1661
angles: 90.00 90.00 90.00
With the nearest neighbours (Å) after each atom.
Fractional positions:
Sn  0.2500  0.2500  0.1641  1 S 2.62
Sn  0.7500  0.7500  0.8359  1 S 2.62
Hg  0.2500  0.2500  0.5854  4 O 2.28
Hg  0.7500  0.7500  0.4146  4 O 2.28
S  0.2500  0.2500  0.8783  1 Sn 2.62, 1 Hg 2.68
S  0.7500  0.7500  0.1217  1 Sn 2.62, 1 Hg 2.68
O  0.2500  0.7500  0.5000  4 Hg 2.28
O  0.7500  0.2500  0.5000  4 Hg 2.28

=====

List of relative energies, unit meV per atom: w 189; x 0; y 408

=====

w:
VASP calculation (PBE-GGA) on crystalline TmHgSO at its relaxed geometry.

abc: 3.8924 3.8924 9.9396
angles: 90.00 90.00 90.00
With the nearest neighbours (Å) after each atom.
Fractional positions:
Tm  0.2500  0.2500  0.1073  4 O 2.22
Tm  0.7500  0.7500  0.8927  4 O 2.22
Hg  0.2500  0.7500  0.5000  4 Hg 2.75
Hg  0.7500  0.2500  0.5000  4 Hg 2.75
S  0.2500  0.2500  0.7421  4 Hg 3.10, 4 Tm 3.13, 4 O 3.22
S  0.7500  0.7500  0.2579  4 Hg 3.10, 4 Tm 3.13, 4 O 3.22
O  0.2500  0.7500  0.0000  4 Tm 2.22
O  0.7500  0.2500  0.0000  4 Tm 2.22

=====

x:
VASP calculation (PBE-GGA) on crystalline TmHgSO at its relaxed geometry.

abc: 4.4832 8.5506 5.3063
angles: 90.00 90.00 90.00
With the nearest neighbours (Å) after each atom.
Fractional positions:
Tm  0.0000  0.1397  0.0000  2 O 2.04
Tm  0.0000  0.8603  0.5000  2 O 2.04
Hg  0.5000  0.3089  0.5678  2 S 2.62-2.69
Hg  0.5000  0.6911  0.0678  2 S 2.62-2.69
S  0.5000  0.3051  0.0742  2 Hg 2.62-2.69, 2 Tm 2.68
S  0.5000  0.6949  0.5742  2 Hg 2.62-2.69, 2 Tm 2.68
O  0.0000  0.0861  0.6250  2 Tm 2.04
O  0.0000  0.9139  0.1250  2 Tm 2.04

=====

y:
VASP calculation (PBE-GGA) on crystalline TmHgSO at its relaxed geometry.

abc: 5.5003 5.5041 13.1862
angles: 90.00 91.48 90.00
With the nearest neighbours (Å) after each atom.
Fractional positions:
Tm  0.0035  0.0000  0.0800  4 O 2.21-2.23
Tm  0.4955  0.0008  0.9187  4 O 2.21-2.23
Tm  0.5045  0.5008  0.0813  4 O 2.21-2.23
Tm  0.9965  0.5000  0.9200  4 O 2.21-2.23
Hg  0.1613  0.2817  0.4987  2 Hg 3.28, 2 S 3.51-3.53
Hg  0.4940  0.5080  0.7414  2 S 2.35
Hg  0.5060  0.0080  0.2586  2 S 2.35
Hg  0.8387  0.7817  0.5013  2 Hg 3.28, 2 S 3.51-3.53
S  0.1948  0.2088  0.7647  1 Hg 2.35
S  0.2046  0.3067  0.2340  1 Hg 2.35
S  0.7954  0.8067  0.7660  1 Hg 2.35
S  0.8052  0.7088  0.2353  1 Hg 2.35
O  0.2498  0.7499  0.0000  4 Tm 2.21-2.23
O  0.2536  0.2493  0.0001  4 Tm 2.21-2.23
O  0.7464  0.7493  0.9999  4 Tm 2.21-2.23
O  0.7502  0.2499  0.0000  4 Tm 2.21-2.23

=====

z:
VASP calculation (PBE-GGA) on crystalline TmHgSO at its relaxed geometry.

abc: 7.0294 7.1239 6.4856
angles: 90.00 93.55 90.00
With the nearest neighbours (Å) after each atom.
Fractional positions:
Tm  0.0209  0.1379  0.2928  3 O 2.15-2.21
Tm  0.0209  0.3621  0.7928  3 O 2.15-2.21
Tm  0.9791  0.6379  0.2072  3 O 2.15-2.21
Tm  0.9791  0.8621  0.7072  3 O 2.15-2.21
Hg  0.4767  0.6892  0.9954  1 S 2.60, 1 O 2.70, 1 Hg 2.72
Hg  0.4767  0.8108  0.4954  1 S 2.60, 1 O 2.70, 1 Hg 2.72
Hg  0.5233  0.1892  0.5046  1 S 2.60, 1 O 2.70, 1 Hg 2.72
Hg  0.5233  0.3108  0.0046  1 S 2.60, 1 O 2.70, 1 Hg 2.72
S  0.2472  0.0694  0.9536  1 Hg 2.60, 3 Tm 2.79-2.84
S  0.2472  0.4306  0.4536  1 Hg 2.60, 3 Tm 2.79-2.84
S  0.7528  0.5694  0.5464  1 Hg 2.60, 3 Tm 2.79-2.84
S  0.7528  0.9306  0.0464  1 Hg 2.60, 3 Tm 2.79-2.84
O  0.0989  0.6440  0.9103  3 Tm 2.15-2.21
O  0.0989  0.8560  0.4103  3 Tm 2.15-2.21
O  0.9011  0.1440  0.5897  3 Tm 2.15-2.21
O  0.9011  0.3560  0.0897  3 Tm 2.15-2.21

=====

List of relative energies, unit meV per atom: w 161; x 252; y 0; z 116

=====

w:
VASP calculation (PBE-GGA) on crystalline Sc2Hg2O5 at its relaxed geometry.

abc: 3.8349 3.8349 8.7116
angles: 90.00 90.00 90.00
With the nearest neighbours (Å) after each atom.
Fractional positions:
Sc  0.0000  0.0000  0.0000  4 O 2.71
Sc  0.0000  0.0000  0.5000  8 O 2.22
Hg  0.5000  0.5000  0.2495  5 O 2.17-2.19
Hg  0.5000  0.5000  0.7505  5 O 2.17-2.19
O  0.0000  0.5000  0.3705  2 Hg 2.19, 2 Sc 2.22, 1 O 2.26
O  0.0000  0.5000  0.6295  2 Hg 2.19, 2 Sc 2.22, 1 O 2.26
O  0.5000  0.0000  0.3705  2 Hg 2.19, 2 Sc 2.22, 1 O 2.26
O  0.5000  0.0000  0.6295  2 Hg 2.19, 2 Sc 2.22, 1 O 2.26
O  0.5000  0.5000  0.0000  2 Hg 2.17

=====

x:
VASP calculation (PBE-GGA) on crystalline Sc2Hg2O5 at its relaxed geometry.

abc: 3.9369 3.9369 8.1413
angles: 90.00 90.00 90.00
With the nearest neighbours (Å) after each atom.
Fractional positions:
Sc  0.0000  0.0000  0.2479  5 O 2.02-2.04
Sc  0.0000  0.0000  0.7521  5 O 2.02-2.04
Hg  0.5000  0.5000  0.0000  4 O 2.78
Hg  0.5000  0.5000  0.5000  8 O 2.48
O  0.0000  0.0000  0.0000  2 Sc 2.02
O  0.0000  0.5000  0.3150  2 Sc 2.04
O  0.0000  0.5000  0.6850  2 Sc 2.04
O  0.5000  0.0000  0.3150  2 Sc 2.04
O  0.5000  0.0000  0.6850  2 Sc 2.04

=====

List of relative energies, unit meV per atom: w 827; x 0